DFT (GGA-PBE) results for crystalline K2Pu2TiS6 at its relaxed geometry.

a = 6.700 Å, b = 6.700 Å, c = 7.842 Å
α = 98.41°, β = 98.41°, γ = 119.40°
Fractional coordinates of all 11 atoms:
K (0.170, 0.830, 0.000)
K (0.830, 0.170, 0.000)
Pu (0.334, 0.666, 0.500)
Pu (0.666, 0.334, 0.500)
Ti (0.000, 0.000, 0.500)
S (0.065, 0.375, 0.690)
S (0.242, 0.242, 0.311)
S (0.375, 0.065, 0.690)
S (0.625, 0.935, 0.310)
S (0.758, 0.758, 0.689)
S (0.935, 0.625, 0.310)

## Properties
* magnetic moment: 10.0 μB per formula unit
* ΔE_f (raw): -34.582 kcal/mol of atoms
* crystal system: monoclinic